[1]
## Li3Lu3Te2O12 (SCAN)

Data for a crystal of Li3Lu3Te2O12 relaxed with PBEsol.

Cell and atoms, written as CIF:
```
data_Li3Lu3Te2O12
_chemical_formula_sum 'Li12 Lu12 Te8 O48'
_cell_length_a 10.4537
_cell_length_b 10.4537
_cell_length_c 10.4537
_cell_angle_alpha 109.47
_cell_angle_beta 109.47
_cell_angle_gamma 109.47
_space_group_name_H-M_alt 'P 1'
_space_group_IT_number 1
_space_group_name_Hall 'P 1'
loop_
_atom_site_label
_atom_site_type_symbol
_atom_site_fract_x
_atom_site_fract_y
_atom_site_fract_z
_atom_site_occupancy
Li1 Li 0.7500 0.1250 0.3750 1
Li2 Li 0.2500 0.8750 0.6250 1
Li3 Li 0.2500 0.3750 0.1250 1
Li4 Li 0.6250 0.2500 0.8750 1
Li5 Li 0.3750 0.7500 0.1250 1
Li6 Li 0.7500 0.6250 0.8750 1
Li7 Li 0.8750 0.7500 0.6250 1
Li8 Li 0.1250 0.2500 0.3750 1
Li9 Li 0.3750 0.6250 0.7500 1
Li10 Li 0.6250 0.3750 0.2500 1
Li11 Li 0.1250 0.8750 0.2500 1
Li12 Li 0.8750 0.1250 0.7500 1
Lu1 Lu 0.7500 0.8750 0.1250 1
Lu2 Lu 0.2500 0.1250 0.8750 1
Lu3 Lu 0.2500 0.6250 0.3750 1
Lu4 Lu 0.8750 0.2500 0.1250 1
Lu5 Lu 0.6250 0.7500 0.3750 1
Lu6 Lu 0.7500 0.3750 0.6250 1
Lu7 Lu 0.1250 0.7500 0.8750 1
Lu8 Lu 0.3750 0.2500 0.6250 1
Lu9 Lu 0.6250 0.8750 0.7500 1
Lu10 Lu 0.3750 0.1250 0.2500 1
Lu11 Lu 0.8750 0.6250 0.2500 1
Lu12 Lu 0.1250 0.3750 0.7500 1
Te1 Te 0.0000 0.0000 0.0000 1
Te2 Te 0.5000 0.0000 0.5000 1
Te3 Te 0.0000 0.5000 0.5000 1
Te4 Te 0.5000 0.5000 0.5000 1
Te5 Te 0.5000 0.5000 0.0000 1
Te6 Te 0.5000 0.0000 0.0000 1
Te7 Te 0.0000 0.5000 0.0000 1
Te8 Te 0.0000 0.0000 0.5000 1
O1 O 0.5310 0.8264 0.9079 1
O2 O 0.4690 0.1736 0.0921 1
O3 O 0.4185 0.6231 0.5921 1
O4 O 0.0815 0.6736 0.2046 1
O5 O 0.7046 0.0815 0.1736 1
O6 O 0.6736 0.9690 0.5921 1
O7 O 0.5815 0.3769 0.4079 1
O8 O 0.9185 0.3264 0.7954 1
O9 O 0.2954 0.9185 0.8264 1
O10 O 0.3264 0.0310 0.4079 1
O11 O 0.9690 0.8769 0.2954 1
O12 O 0.7954 0.9690 0.3769 1
O13 O 0.8769 0.0815 0.9079 1
O14 O 0.0310 0.1231 0.7046 1
O15 O 0.2046 0.0310 0.6231 1
O16 O 0.1231 0.9185 0.0921 1
O17 O 0.4079 0.5310 0.3264 1
O18 O 0.8264 0.4185 0.2954 1
O19 O 0.5921 0.4690 0.6736 1
O20 O 0.1736 0.5815 0.7046 1
O21 O 0.0921 0.4185 0.1231 1
O22 O 0.6231 0.5310 0.2046 1
O23 O 0.9079 0.5815 0.8769 1
O24 O 0.3769 0.4690 0.7954 1
O25 O 0.6231 0.0921 0.9185 1
O26 O 0.4185 0.7954 0.3264 1
O27 O 0.3769 0.9079 0.0815 1
O28 O 0.5815 0.2046 0.6736 1
O29 O 0.8769 0.7954 0.4690 1
O30 O 0.9690 0.0921 0.1736 1
O31 O 0.1231 0.2046 0.5310 1
O32 O 0.0310 0.9079 0.8264 1
O33 O 0.6736 0.7046 0.5815 1
O34 O 0.0815 0.4079 0.3769 1
O35 O 0.3264 0.2954 0.4185 1
O36 O 0.9185 0.5921 0.6231 1
O37 O 0.8264 0.4079 0.0310 1
O38 O 0.5310 0.7046 0.1231 1
O39 O 0.1736 0.5921 0.9690 1
O40 O 0.4690 0.2954 0.8769 1
O41 O 0.7046 0.6231 0.0310 1
O42 O 0.2954 0.3769 0.9690 1
O43 O 0.7954 0.8264 0.9185 1
O44 O 0.2046 0.1736 0.0815 1
O45 O 0.0921 0.6736 0.4690 1
O46 O 0.9079 0.3264 0.5310 1
O47 O 0.4079 0.8769 0.5815 1
O48 O 0.5921 0.1231 0.4185 1
```

Values from the calculation:
Space-group type: Ia-3d, No. 230
Energy relative to the elements, uncorrected (eV/atom): -2.612

---

[2]
## LiTcBr (SCAN)

Data for a crystal of LiTcBr relaxed with PBEsol.

Cell and atoms, written as CIF:
```
data_LiTcBr
_chemical_formula_sum 'Li1 Tc1 Br1'
_cell_length_a 4.2471
_cell_length_b 4.2471
_cell_length_c 4.2471
_cell_angle_alpha 60.00
_cell_angle_beta 60.00
_cell_angle_gamma 60.00
_space_group_name_H-M_alt 'P 1'
_space_group_IT_number 1
_space_group_name_Hall 'P 1'
loop_
_atom_site_label
_atom_site_type_symbol
_atom_site_fract_x
_atom_site_fract_y
_atom_site_fract_z
_atom_site_occupancy
Tc1 Tc 0.0000 0.0000 0.0000 1
Br1 Br 0.5000 0.5000 0.5000 1
Li1 Li 0.2500 0.2500 0.2500 1
```

Values from the calculation:
Space-group type: F-43m, No. 216
Excess energy over the best structure of this formula in the dataset (meV per atom): 429
Energy relative to the elements, uncorrected (eV/atom): 0.990

---

[3]
## RePb3N (SCAN)

Data for a crystal of RePb3N relaxed with PBEsol.

Cell and atoms, written as CIF:
```
data_RePb3N
_chemical_formula_sum 'Re1 Pb3 N1'
_cell_length_a 5.2399
_cell_length_b 5.2399
_cell_length_c 5.2399
_cell_angle_alpha 90.00
_cell_angle_beta 90.00
_cell_angle_gamma 90.00
_space_group_name_H-M_alt 'P 1'
_space_group_IT_number 1
_space_group_name_Hall 'P 1'
loop_
_atom_site_label
_atom_site_type_symbol
_atom_site_fract_x
_atom_site_fract_y
_atom_site_fract_z
_atom_site_occupancy
Pb1 Pb 0.0000 0.5000 0.0000 1
Pb2 Pb 0.0000 0.0000 0.5000 1
Pb3 Pb 0.5000 0.0000 0.0000 1
Re1 Re 0.0000 0.0000 0.0000 1
N1 N 0.5000 0.5000 0.5000 1
```

Values from the calculation:
Space-group type: Pm-3m, No. 221
Energy relative to the elements, uncorrected (eV/atom): 1.228

---

[4]
## Sc2CoPb (SCAN)

Data for a crystal of Sc2CoPb relaxed with PBEsol.

Cell and atoms, written as CIF:
```
data_Sc2CoPb
_chemical_formula_sum 'Sc2 Co1 Pb1'
_cell_length_a 3.4521
_cell_length_b 3.4521
_cell_length_c 9.1303
_cell_angle_alpha 79.10
_cell_angle_beta 79.10
_cell_angle_gamma 60.00
_space_group_name_H-M_alt 'P 1'
_space_group_IT_number 1
_space_group_name_Hall 'P 1'
loop_
_atom_site_label
_atom_site_type_symbol
_atom_site_fract_x
_atom_site_fract_y
_atom_site_fract_z
_atom_site_occupancy
Pb1 Pb 0.0000 0.0000 0.0000 1
Sc1 Sc 0.8864 0.8864 0.3409 1
Sc2 Sc 0.1136 0.1136 0.6591 1
Co1 Co 0.5000 0.5000 0.5000 1
```

Values from the calculation:
Space-group type: R-3m, No. 166
Energy of formation (eV per atom): 0.0120

---

[5]
## Tl2HgGeTe4 (SCAN)

Data for a crystal of Tl2HgGeTe4 relaxed with PBEsol.

Cell and atoms, written as CIF:
```
data_Tl2HgGeTe4
_chemical_formula_sum 'Tl2 Hg1 Ge1 Te4'
_cell_length_a 6.8323
_cell_length_b 6.8323
_cell_length_c 6.8323
_cell_angle_alpha 105.26
_cell_angle_beta 105.26
_cell_angle_gamma 118.27
_space_group_name_H-M_alt 'P 1'
_space_group_IT_number 1
_space_group_name_Hall 'P 1'
loop_
_atom_site_label
_atom_site_type_symbol
_atom_site_fract_x
_atom_site_fract_y
_atom_site_fract_z
_atom_site_occupancy
Tl1 Tl 0.5000 0.0000 0.5000 1
Tl2 Tl 0.0000 0.5000 0.5000 1
Hg1 Hg 0.5000 0.5000 0.0000 1
Ge1 Ge 0.0000 0.0000 0.0000 1
Te1 Te 0.0462 0.0462 0.6401 1
Te2 Te 0.9538 0.5939 0.0000 1
Te3 Te 0.5939 0.9538 0.0000 1
Te4 Te 0.4061 0.4061 0.3599 1
```

Values from the calculation:
Space-group type: I-42m, No. 121
Energy relative to the elements, uncorrected (eV/atom): -0.187

---

[6]
## Li2CdPb (SCAN)

Data for a crystal of Li2CdPb relaxed with PBEsol.

Cell and atoms, written as CIF:
```
data_Li2CdPb
_chemical_formula_sum 'Li2 Cd1 Pb1'
_cell_length_a 3.2386
_cell_length_b 3.2386
_cell_length_c 9.5896
_cell_angle_alpha 80.28
_cell_angle_beta 80.28
_cell_angle_gamma 60.00
_space_group_name_H-M_alt 'P 1'
_space_group_IT_number 1
_space_group_name_Hall 'P 1'
loop_
_atom_site_label
_atom_site_type_symbol
_atom_site_fract_x
_atom_site_fract_y
_atom_site_fract_z
_atom_site_occupancy
Cd1 Cd 0.0000 0.0000 0.0000 1
Li1 Li 0.2511 0.2511 0.2468 1
Li2 Li 0.7489 0.7489 0.7532 1
Pb1 Pb 0.5000 0.5000 0.5000 1
```

Values from the calculation:
Space-group type: R-3m, No. 166
Excess energy over the best structure of this formula in the dataset (meV per atom): 171
Energy of formation (eV per atom): -0.2024

---

[7]
## Mg2P2O7 (SCAN)

Data for a crystal of Mg2P2O7 relaxed with PBEsol.

Cell and atoms, written as CIF:
```
data_Mg2P2O7
_chemical_formula_sum 'Mg2 P2 O7'
_cell_length_a 4.5087
_cell_length_b 5.2649
_cell_length_c 5.2649
_cell_angle_alpha 104.26
_cell_angle_beta 98.17
_cell_angle_gamma 98.17
_space_group_name_H-M_alt 'P 1'
_space_group_IT_number 1
_space_group_name_Hall 'P 1'
loop_
_atom_site_label
_atom_site_type_symbol
_atom_site_fract_x
_atom_site_fract_y
_atom_site_fract_z
_atom_site_occupancy
P1 P 0.9073 0.2211 0.2211 1
P2 P 0.0927 0.7789 0.7789 1
Mg1 Mg 0.5000 0.6880 0.3120 1
Mg2 Mg 0.5000 0.3120 0.6880 1
O1 O 0.0000 0.0000 0.0000 1
O2 O 0.2143 0.3822 0.3822 1
O3 O 0.7857 0.6178 0.6178 1
O4 O 0.7200 0.0745 0.3803 1
O5 O 0.2800 0.6197 0.9255 1
O6 O 0.2800 0.9255 0.6197 1
O7 O 0.7200 0.3803 0.0745 1
```

Values from the calculation:
Space-group type: C2/m, No. 12
Excess energy over the best structure of this formula in the dataset (meV per atom): 3
Energy relative to the elements, uncorrected (eV/atom): -2.838

---

[8]
## BeAl2Ru (SCAN)

Data for a crystal of BeAl2Ru relaxed with PBEsol.

Cell and atoms, written as CIF:
```
data_BeAl2Ru
_chemical_formula_sum 'Be1 Al2 Ru1'
_cell_length_a 3.0927
_cell_length_b 3.0927
_cell_length_c 5.3292
_cell_angle_alpha 90.00
_cell_angle_beta 90.00
_cell_angle_gamma 90.00
_space_group_name_H-M_alt 'P 1'
_space_group_IT_number 1
_space_group_name_Hall 'P 1'
loop_
_atom_site_label
_atom_site_type_symbol
_atom_site_fract_x
_atom_site_fract_y
_atom_site_fract_z
_atom_site_occupancy
Ru1 Ru 0.5000 0.5000 0.7351 1
Al1 Al 0.0000 0.0000 0.9735 1
Al2 Al 0.5000 0.5000 0.2727 1
Be1 Be 0.0000 0.0000 0.5188 1
```

Values from the calculation:
Space-group type: P4mm, No. 99
Energy of formation (eV per atom): -0.4859

---

[9]
## Y2Co3 (SCAN)

Data for a crystal of Y2Co3 relaxed with PBEsol.

Cell and atoms, written as CIF:
```
data_Y2Co3
_chemical_formula_sum 'Y2 Co3'
_cell_length_a 3.7880
_cell_length_b 3.7880
_cell_length_c 7.4477
_cell_angle_alpha 75.27
_cell_angle_beta 75.27
_cell_angle_gamma 60.00
_space_group_name_H-M_alt 'P 1'
_space_group_IT_number 1
_space_group_name_Hall 'P 1'
loop_
_atom_site_label
_atom_site_type_symbol
_atom_site_fract_x
_atom_site_fract_y
_atom_site_fract_z
_atom_site_occupancy
Co1 Co 0.0000 0.0000 0.0000 1
Co2 Co 0.1650 0.1650 0.5050 1
Co3 Co 0.8350 0.8350 0.4950 1
Y1 Y 0.4077 0.4077 0.7769 1
Y2 Y 0.5923 0.5923 0.2231 1
```

Values from the calculation:
Space-group type: R-3m, No. 166
Energy of formation (eV per atom): 0.0757

---

[10]
## ScReHg (SCAN)

Data for a crystal of ScReHg relaxed with PBEsol.

Cell and atoms, written as CIF:
```
data_ScReHg
_chemical_formula_sum 'Sc1 Re1 Hg1'
_cell_length_a 2.8772
_cell_length_b 2.8772
_cell_length_c 6.7834
_cell_angle_alpha 102.24
_cell_angle_beta 102.24
_cell_angle_gamma 90.00
_space_group_name_H-M_alt 'P 1'
_space_group_IT_number 1
_space_group_name_Hall 'P 1'
loop_
_atom_site_label
_atom_site_type_symbol
_atom_site_fract_x
_atom_site_fract_y
_atom_site_fract_z
_atom_site_occupancy
Hg1 Hg 0.0042 0.0042 0.0084 1
Re1 Re 0.6705 0.6705 0.3410 1
Sc1 Sc 0.3253 0.3253 0.6506 1
```

Values from the calculation:
Space-group type: I4mm, No. 107
Energy of formation (eV per atom): 0.2050

---

- Which formula does entry 8 have?
  BeAl2Ru

---

- Which formula does entry 10 have?
  ScReHg